DFT (PBE) results for an optimized crystal structure of TmZnCuRu.

The structure in extended XYZ format:
```
4
Lattice="0.000 3.202 3.202 3.202 0.000 3.202 3.202 3.202 0.000" Properties=species:S:1:pos:R:3 pbc="T T T"
Tm 0.000 0.000 0.000
Zn 3.202 3.202 3.202
Cu 1.601 1.601 1.601
Ru 4.803 4.803 4.803
```

Output
calculated total energy	-19.740	eV for the cell shown
N(E_F)	1.4	states/eV/f.u.